# 1
YTmZn2Sn2: relaxed, GGA-PBE.

Structure (POSCAR):
```
YTmZn2Sn2
1.0
4.501 0.000 0.000
-2.251 3.898 0.000
0.000 0.000 15.662
Y Tm Zn Sn
2 2 4 4
Cartesian
0.000 0.000 3.916
0.000 0.000 11.747
0.000 0.000 0.000
0.000 0.000 7.831
0.000 2.599 2.495
0.000 2.599 5.336
2.251 1.299 10.326
2.251 1.299 13.167
0.000 2.599 9.575
0.000 2.599 13.918
2.251 1.299 1.744
2.251 1.299 6.087
```

Results
* offset from the most stable computed form: 0.07 eV/f.u.



# 2
ZrPAuO: relaxed, GGA-PBE.

Structure (POSCAR):
```
ZrPAuO
1.0
5.477 0.000 0.000
0.000 5.477 0.000
0.000 0.000 4.484
Zr P Au O
2 2 2 2
Cartesian
1.369 4.108 0.000
4.108 1.369 0.000
1.369 1.369 0.311
4.108 4.108 4.173
1.369 1.369 2.574
4.108 4.108 1.909
1.369 4.108 2.242
4.108 1.369 2.242
```

Results
* offset from the most stable computed form: 1.57 eV/f.u.



# 3
Y4Sc2Zn3C3: relaxed, GGA-PBE.

Structure (POSCAR):
```
Y4Sc2Zn3C3
1.0
5.291 -3.054 0.000
5.291 3.054 0.000
-3.522 0.000 14.474
Y Sc Zn C
8 4 6 6
Cartesian
0.881 0.489 1.429
0.872 0.516 5.807
-0.880 -0.489 8.666
-0.890 -0.516 13.044
7.949 0.516 1.430
7.940 0.489 5.807
6.188 -0.516 8.667
6.178 -0.489 13.044
4.386 0.523 1.053
4.435 0.523 6.184
2.625 -0.523 8.290
2.674 -0.523 13.421
3.095 1.263 3.620
2.649 1.017 10.855
5.725 1.263 3.617
1.334 -1.263 10.857
4.410 -1.017 3.618
3.964 -1.263 10.854
2.645 1.527 0.000
2.670 1.490 7.240
2.628 1.490 14.471
0.884 -1.527 7.237
4.431 -1.490 0.003
4.389 -1.490 7.234
```



# 4
ZrSnPO: relaxed, GGA-PBE.

Structure (POSCAR):
```
ZrSnPO
1.0
3.785 0.000 0.000
0.000 3.785 0.000
0.000 0.000 10.055
Zr Sn P O
2 2 2 2
Cartesian
0.946 0.946 1.181
2.839 2.839 8.875
0.946 2.839 5.028
2.839 0.946 5.028
0.946 0.946 7.566
2.839 2.839 2.489
0.946 2.839 0.000
2.839 0.946 0.000
```

Results
* offset from the most stable computed form: 0.50 eV/f.u.



# 5
BaBiMo: relaxed, GGA-PBE.

Structure (POSCAR):
```
BaBiMo
1.0
0.000 3.767 3.767
3.767 0.000 3.767
3.767 3.767 0.000
Ba Bi Mo
1 1 1
Cartesian
0.000 0.000 0.000
3.767 3.767 3.767
1.884 1.884 1.884
```



# 6
AgPbSeF: relaxed, GGA-PBE.

Structure (POSCAR):
```
AgPbSeF
1.0
2.146 1.239 10.911
-2.146 1.239 10.911
0.000 -2.478 10.911
Ag Pb Se F
2 2 2 2
Cartesian
0.000 0.000 6.286
0.000 0.000 26.448
0.000 0.000 12.613
0.000 0.000 20.121
0.000 0.000 3.492
0.000 0.000 29.241
0.000 0.000 10.047
0.000 0.000 22.686
```

Results
* offset from the most stable computed form: 0.10 eV/f.u.



# 7
LuScSn2: relaxed, GGA-PBE.

Structure (POSCAR):
```
LuScSn2
1.0
0.000 3.693 3.693
3.693 0.000 3.693
3.693 3.693 0.000
Lu Sc Sn
1 1 2
Cartesian
0.000 0.000 0.000
5.540 5.540 5.540
1.847 1.847 1.847
3.693 3.693 3.693
```



# 8
ScZnCuSb: relaxed, GGA-PBE.

Structure (POSCAR):
```
ScZnCuSb
1.0
0.000 3.341 3.341
3.341 0.000 3.341
3.341 3.341 0.000
Sc Zn Cu Sb
1 1 1 1
Cartesian
0.000 0.000 0.000
5.011 5.011 5.011
3.341 3.341 3.341
1.670 1.670 1.670
```

Results
* offset from the most stable computed form: 0.00 eV/f.u.



# 9
LiTbGa2Pd4: relaxed, GGA-PBE.

Structure (POSCAR):
```
LiTbGa2Pd4
1.0
4.517 0.000 0.000
0.000 4.517 0.000
0.000 0.000 6.376
Li Tb Ga Pd
1 1 2 4
Cartesian
0.000 0.000 0.000
2.259 2.259 3.188
0.000 0.000 3.188
2.259 2.259 0.000
0.000 2.259 1.447
0.000 2.259 4.930
2.259 0.000 1.447
2.259 0.000 4.930
```



# 10
MgTlCoMo: relaxed, GGA-PBE.

Structure (POSCAR):
```
MgTlCoMo
1.0
0.000 3.196 3.196
3.196 0.000 3.196
3.196 3.196 0.000
Mg Tl Co Mo
1 1 1 1
Cartesian
0.000 0.000 0.000
4.794 4.794 4.794
3.196 3.196 3.196
1.598 1.598 1.598
```

Results
* offset from the most stable computed form: 0.00 eV/f.u.



# 11
TaZn2: relaxed, GGA-PBE.

Structure (POSCAR):
```
TaZn2
1.0
5.033 0.000 0.000
-2.516 4.358 0.000
0.000 0.000 16.262
Ta Zn
8 16
Cartesian
0.000 0.000 1.483
0.000 0.000 6.648
0.000 0.000 9.614
0.000 0.000 14.779
0.000 2.906 2.546
0.000 2.906 5.585
2.516 1.453 10.677
2.516 1.453 13.716
-1.258 2.179 0.000
-1.258 2.179 8.131
0.000 1.400 12.197
-1.304 3.658 12.197
1.213 0.700 4.066
0.000 2.906 10.194
0.000 2.906 14.199
2.516 0.000 0.000
2.516 0.000 8.131
1.258 2.179 0.000
1.258 2.179 8.131
2.516 1.453 2.063
2.516 1.453 6.068
1.304 3.658 12.197
3.820 0.700 4.066
2.516 2.958 4.066
```

Results
* energy of formation from the pure elements: -0.084 eV/atom



# 12
NpInPb: relaxed, GGA-PBE.

Structure (POSCAR):
```
NpInPb
1.0
0.000 3.623 3.623
3.623 0.000 3.623
3.623 3.623 0.000
Np In Pb
1 1 1
Cartesian
0.000 0.000 0.000
1.811 1.811 1.811
3.623 3.623 3.623
```



# 13
HfInAuSe3: relaxed, GGA-PBE.

Structure (POSCAR):
```
HfInAuSe3
1.0
1.940 -7.221 0.000
1.940 7.221 0.000
0.000 0.000 10.414
Hf In Au Se
2 2 2 6
Cartesian
0.000 0.000 0.000
0.000 0.000 5.207
1.940 3.687 7.811
1.940 -3.687 2.604
1.940 0.877 2.604
1.940 -0.877 7.811
1.940 6.217 2.604
1.940 1.895 0.254
1.940 1.895 4.953
1.940 -1.895 5.461
1.940 -1.895 10.160
1.940 -6.217 7.811
```



# 14
AcHoCd: relaxed, GGA-PBE.

Structure (POSCAR):
```
AcHoCd
1.0
0.000 3.809 3.809
3.809 0.000 3.809
3.809 3.809 0.000
Ac Ho Cd
1 1 1
Cartesian
0.000 0.000 0.000
1.904 1.904 1.904
5.713 5.713 5.713
```

Results
* energy of formation from the pure elements: 0.583 eV/atom



Number 1: E -4.14 eV/atom. Number 2: E -6.46 eV/atom. Number 3: E -6.16 eV/atom. Number 4: E -6.83 eV/atom. Number 5: E -4.95 eV/atom. Number 6: E -4.00 eV/atom. Number 7: E -4.78 eV/atom. Number 8: E -3.97 eV/atom. Number 9: E -4.87 eV/atom. Number 10: E -4.90 eV/atom. Number 11: E -4.88 eV/atom. Number 12: E -5.93 eV/atom. Number 13: E -5.09 eV/atom. Number 14: E -2.61 eV/atom.